1.
CaMg2H, optimized geometry, DFT PBEsol; E_tot = -2.20 eV per atom
1.0
-1.2933 -6.1546 0.6274
2.2422 -3.2107 4.9608
-3.9378 -1.9548 4.5407
H Ca Mg
2 2 4
Direct
0.5000 0.5000 0.5000
0.7500 0.7500 0.7500
0.2500 0.2500 0.2500
0.0000 0.0000 0.0000
0.6250 0.1250 0.6250
0.6250 0.6250 0.1250
0.6250 0.6250 0.6250
0.1250 0.6250 0.6250

2.
Ca4Mg3H14, optimized geometry, DFT PBEsol; E_tot = -3.27 eV per atom
1.0
-4.7076 3.9568 0.3973
-0.9932 -5.7952 -1.8451
-1.0338 -1.8781 6.4556
H Ca Mg
14 4 3
Direct
0.0000 0.2284 0.0000
0.7363 0.7363 0.5000
0.0000 0.2637 0.5000
0.7716 0.7716 0.0000
0.6140 0.0000 0.2796
0.2284 0.0000 0.0000
0.2637 0.0000 0.5000
0.6140 0.0000 0.7204
0.6667 0.3333 0.0000
0.3860 0.3860 0.2796
0.0000 0.6140 0.2796
0.3333 0.6667 0.0000
0.0000 0.6140 0.7204
0.3860 0.3860 0.7204
0.6667 0.3333 0.5000
0.0000 0.0000 0.7322
0.3333 0.6667 0.5000
0.0000 0.0000 0.2678
0.4357 0.4357 0.0000
0.5643 0.0000 0.0000
0.0000 0.5643 0.0000

3.
CaMgNiH4, optimized geometry, DFT PBEsol; E_tot = -3.76 eV per atom
1.0
6.6483 0.0000 0.0000
0.0000 6.6483 0.0000
0.0000 0.0000 6.6483
H Ca Ni Mg
16 4 4 4
Direct
0.5574 0.2372 0.0444
0.9426 0.7628 0.5444
0.0937 0.4063 0.5937
0.2372 0.0444 0.5574
0.4426 0.7372 0.4556
0.5444 0.9426 0.7628
0.9063 0.9063 0.9063
0.4063 0.5937 0.0937
0.7372 0.4556 0.4426
0.7628 0.5444 0.9426
0.2628 0.9556 0.0574
0.0574 0.2628 0.9556
0.5937 0.0937 0.4063
0.0444 0.5574 0.2372
0.4556 0.4426 0.7372
0.9556 0.0574 0.2628
0.8145 0.1855 0.6855
0.3145 0.3145 0.3145
0.6855 0.8145 0.1855
0.1855 0.6855 0.8145
0.4561 0.9561 0.5439
0.0439 0.0439 0.0439
0.9561 0.5439 0.4561
0.5439 0.4561 0.9561
0.6721 0.6721 0.6721
0.3279 0.1721 0.8279
0.8279 0.3279 0.1721
0.1721 0.8279 0.3279